# ZrZnPb2

Crystalline ZrZnPb2 at its relaxed geometry (PBE, Alexandria).

Results
For the density of states at the Fermi level, the calculation gives 1.8 states/eV/cell.

Cell: 3.454 4.291 6.420 Å, 90.00 90.00 90.00°
Space group Pmmm (No. 47)
Symmetry-distinct sites (fractional):
Zr 0.000 0.000 0.000 x1
Zn 0.000 0.000 0.500 x1
Pb 0.500 0.500 0.254 x2

# ZrZnPb2

Crystalline ZrZnPb2 at its relaxed geometry (PBE, Alexandria).

Results
For the density of states at the Fermi level, the calculation gives 3.8 states/eV/cell.

Cell: 6.948 8.282 3.325 Å, 90.00 90.36 90.00°
Space group C2/m (No. 12)
Symmetry-distinct sites (fractional):
Zr 0.000 0.000 0.000 x2
Zn 0.000 0.500 0.000 x2
Pb 0.250 0.250 0.500 x4

Number 1: energy of formation 0.1 eV per formula unit, calculated volume 95 Å³/cell, total magnetization 0.0 μB/cell. Number 2: energy of formation 0.1 eV per formula unit, calculated volume 191 Å³/cell, total magnetization 0.0 μB/cell.